No. 1
KTc2Au | GGA-PBEsol | optimized geometry

Cell lengths 2.750, 2.750, 10.757 Å; angles 82.66, 82.66, 60.00 degrees
Positions (direct):
Au1 0.500 0.500 0.500
K1 0.000 0.000 0.000
Tc1 0.240 0.240 0.281
Tc2 0.760 0.760 0.719

Properties
For the magnetization, the calculation gives 0.00 μB per cell. For the formation energy from the elements, the calculation gives 952 meV per atom.


No. 2
Ca3InH | GGA-PBEsol | optimized geometry

Cell lengths 4.919, 4.919, 4.919 Å; angles 90.00, 90.00, 90.00 degrees
Positions (direct):
H1 0.000 0.000 0.000
Ca1 0.000 0.500 0.000
Ca2 0.000 0.000 0.500
Ca3 0.500 0.000 0.000
In1 0.500 0.500 0.500

Properties
For the total energy, the calculation gives -2.9317 eV/atom. For the magnetization, the calculation gives 0.00 μB per cell.


No. 3
CdCo2Ir | GGA-PBEsol | optimized geometry

Cell lengths 2.672, 3.549, 5.646 Å; angles 90.00, 90.00, 90.00 degrees
Each line ends with the local moment (μB).
Positions (direct):
Ir1 0.500 0.500 0.000  0.27
Co1 0.000 0.000 0.785  1.07
Co2 0.000 0.000 0.215  1.07
Cd1 0.500 0.500 0.500  -0.02

Properties
For the magnetization, the calculation gives 2.38 μB per cell. For the formation energy from the elements, the calculation gives 216 meV per atom.


No. 4
InTcSbTe2 | GGA-PBEsol | optimized geometry

Cell lengths 5.052, 5.272, 5.272 Å; angles 90.00, 90.00, 90.00 degrees
Positions (direct):
Sb1 0.500 0.000 0.000
Te1 0.000 0.000 0.500
Te2 0.000 0.500 0.000
Tc1 0.000 0.000 0.000
In1 0.500 0.500 0.500

Properties
For the total energy, the calculation gives -4.7731 eV/atom. For the magnetization, the calculation gives 0.00 μB per cell.